DFT (GGA-PBE) results for Ti2AgH after structural relaxation.

Computed properties:
Total magnetization, Bohr magnetons per cell: 0.00
Excess energy over the best structure of this formula in the dataset, meV per atom: 0

abc: 2.9652 2.9652 21.0837
angles: 90.00 90.00 120.00
Space group R3m (No. 160, hexagonal axes)
Symmetry-distinct sites (fractional):
Ti (0.0000, 0.0000, 0.0000) [3 per cell]
Ti (0.0000, 0.0000, 0.2234) [3 per cell]
Ag (0.0000, 0.0000, 0.4455) [3 per cell]
H (0.0000, 0.0000, 0.6111) [3 per cell]